1.
A plane-wave DFT calculation with PBE-GGA was carried out for crystalline Tl2CdSe at its relaxed geometry.

a b c (Å): 3.9254 5.4729 10.7238
angles (deg): 90.00 90.00 90.00
Space group Imm2 (No. 44)
Asymmetric unit:
Tl 0.0000 0.0000 0.0000 [2 per cell]
Tl 0.0000 0.5000 0.2065 [2 per cell]
Cd 0.0000 0.5000 0.7789 [2 per cell]
Se 0.0000 0.0000 0.4683 [2 per cell]

Formation energy from raw total energies: -0.167 eV per atom
Density of states at the Fermi level: 0.3068 states/eV/atom
M_tot: 0.00 μB per formula unit

---

2.
A plane-wave DFT calculation with PBE-GGA was carried out for crystalline TlCd2Se at its relaxed geometry.

a b c (Å): 4.1170 4.5844 5.4850
angles (deg): 90.00 90.00 90.00
Space group Pmmm (No. 47)
Asymmetric unit:
Tl 0.0000 0.0000 0.0000 [1 per cell]
Cd 0.0000 0.5000 0.5000 [1 per cell]
Cd 0.5000 0.5000 0.0000 [1 per cell]
Se 0.5000 0.0000 0.5000 [1 per cell]

Formation energy from raw total energies: -0.056 eV per atom
Density of states at the Fermi level: 0.2419 states/eV/atom
M_tot: 0.00 μB per formula unit